A plane-wave DFT calculation with GGA-PBE was carried out for crystalline BaAs2 at its relaxed geometry.

For the total energy, the calculation gives -4.2661 eV/atom. The formation enthalpy at 0 K is -525.5 meV per atom.

It has space group P6_3/mmc (No. 194), with a = 5.7713 Å, b = 5.7713 Å, c = 11.0892 Å, α = 90.00°, β = 90.00° and γ = 120.00°. The distinct sites, in fractional coordinates, are Ba at (0.3333, 0.6667, 0.0699), As at (0.0000, 0.0000, 0.0000) and As at (0.1700, 0.3400, 0.7500).